Arrangement w

The following is a PBE calculation of crystalline TaBeRe2 at its relaxed geometry, from Alexandria.

Unit cell a=2.7770 b=2.7770 c=7.3133 alpha=90.00 beta=90.00 gamma=90.00
Last column: nearest neighbours and their distance in Å.
Sites, in units of the cell vectors:
Re 0.0000 0.0000 0.9475  4 Be 2.44
Ta 0.5000 0.5000 0.2500  4 Ta 2.78, 8 Re 2.96
Re 0.0000 0.0000 0.5525  4 Be 2.44
Be 0.5000 0.5000 0.7500  8 Re 2.44

Arrangement x

The following is a PBE calculation of crystalline TaBeRe2 at its relaxed geometry, from Alexandria.

Unit cell a=2.7337 b=2.7337 c=8.0572 alpha=90.00 beta=90.00 gamma=108.84
Last column: nearest neighbours and their distance in Å.
Sites, in units of the cell vectors:
Re 0.0000 0.0000 0.5286  2 Be 2.39
Be 0.5000 0.5000 0.7500  4 Re 2.39
Re 0.0000 0.0000 0.9714  2 Be 2.39
Ta 0.5000 0.5000 0.2500  4 Ta 2.73, 4 Re 2.75

Stability summary - winner: arrangement x; margin: 0.157 eV/atom.

Arrangement w

The following is a PBE calculation of crystalline Be2ReTc at its relaxed geometry, from Alexandria.

Unit cell a=3.7326 b=2.5856 c=5.0841 alpha=77.74 beta=90.00 gamma=90.00
Last column: nearest neighbours and their distance in Å.
Sites, in units of the cell vectors:
Tc 0.5000 0.7500 0.7500  4 Be 2.42, 2 Tc 2.59, 2 Re 2.60
Be 0.0000 0.5078 0.4996  2 Tc 2.42, 2 Re 2.43, 4 Be 2.58-2.61
Be 0.0000 0.9922 0.0004  2 Tc 2.42, 2 Re 2.43, 4 Be 2.58-2.61
Re 0.5000 0.2500 0.2500  4 Be 2.43, 2 Re 2.59, 2 Tc 2.60

Arrangement x

The following is a PBE calculation of crystalline Be2ReTc at its relaxed geometry, from Alexandria.

Unit cell a=3.1999 b=3.1134 c=4.6530 alpha=70.45 beta=90.00 gamma=90.00
Last column: nearest neighbours and their distance in Å.
Sites, in units of the cell vectors:
Re 0.0000 0.4762 0.4232  7 Be 2.34-2.47
Tc 0.5000 0.7742 0.8261  7 Be 2.34-2.47
Be 0.5000 0.0553 0.2642  2 Be 2.01
Be 0.0000 0.1943 0.9865  2 Be 2.01

Stability summary - winner: arrangement x; margin: 0.290 eV/atom.

Arrangement w

The following is a PBE calculation of crystalline Be2ReTc at its relaxed geometry, from Alexandria.

Unit cell a=4.6031 b=4.6031 c=3.9805 alpha=64.37 beta=64.37 gamma=37.94
Last column: nearest neighbours and their distance in Å.
Sites, in units of the cell vectors:
Be 0.7294 0.7294 0.7713  2 Be 2.20
Be 0.0206 0.0206 0.9788  2 Be 2.20
Re 0.4866 0.4866 0.5124  8 Be 2.49-2.74, 4 Tc 2.61-2.64
Tc 0.2634 0.2634 0.2375  8 Be 2.49-2.74, 4 Re 2.61-2.64

Arrangement x

The following is a PBE calculation of crystalline Be2ReTc at its relaxed geometry, from Alexandria.

Unit cell a=8.1521 b=8.1521 c=8.1521 alpha=18.90 beta=18.90 gamma=18.90
Last column: nearest neighbours and their distance in Å.
Sites, in units of the cell vectors:
Re 0.7500 0.7500 0.7500  6 Be 2.53, 6 Re 2.68
Be 0.9997 0.9997 0.9997  3 Tc 2.52, 3 Re 2.53, 6 Be 2.68
Be 0.5003 0.5003 0.5003  3 Tc 2.52, 3 Re 2.53, 6 Be 2.68
Tc 0.2500 0.2500 0.2500  6 Be 2.52, 6 Tc 2.68

Stability summary - winner: arrangement w; margin: 0.279 eV/atom.

Arrangement w

The following is a PBE calculation of crystalline Be2ReTc at its relaxed geometry, from Alexandria.

Unit cell a=4.5587 b=4.5587 c=4.5587 alpha=140.47 beta=125.77 gamma=69.15
Last column: nearest neighbours and their distance in Å.
Sites, in units of the cell vectors:
Tc 0.2500 0.7500 0.5000  4 Be 2.43, 4 Re 2.59
Re 0.7500 0.2500 0.5000  4 Be 2.43, 4 Tc 2.59
Be 0.0003 0.0003 0.0000  2 Tc 2.43, 2 Re 2.43, 4 Be 2.59
Be 0.4997 0.4997 0.0000  2 Tc 2.43, 2 Re 2.43, 4 Be 2.59

Arrangement x

The following is a PBE calculation of crystalline Be2ReTc at its relaxed geometry, from Alexandria.

Unit cell a=2.9499 b=2.9499 c=5.5318 alpha=90.00 beta=90.00 gamma=90.00
Last column: nearest neighbours and their distance in Å.
Sites, in units of the cell vectors:
Re 0.0000 0.0000 0.4948  4 Tc 2.54, 5 Be 2.58
Be 0.5000 0.5000 0.2200  4 Be 2.34, 1 Tc 2.56, 4 Re 2.58
Tc 0.5000 0.5000 0.7565  4 Re 2.54, 5 Be 2.56-2.57
Be 0.0000 0.0000 0.0287  4 Be 2.34, 4 Tc 2.57, 1 Re 2.58

Arrangement y

The following is a PBE calculation of crystalline Be2ReTc at its relaxed geometry, from Alexandria.

Unit cell a=3.0043 b=3.0072 c=5.0947 alpha=90.00 beta=90.00 gamma=90.00
Last column: nearest neighbours and their distance in Å.
Sites, in units of the cell vectors:
Be 0.0000 0.0000 0.5025  4 Tc 2.47, 4 Re 2.48, 2 Be 2.52-2.57
Re 0.5000 0.5000 0.2500  8 Be 2.48, 2 Tc 2.55
Tc 0.5000 0.5000 0.7500  8 Be 2.47, 2 Re 2.55
Be 0.0000 0.0000 0.9975  4 Tc 2.47, 4 Re 2.48, 2 Be 2.52-2.57

Stability summary - winner: arrangement x; margin: 0.059 eV/atom.

Arrangement w

The following is a PBE calculation of crystalline Be2ReTc at its relaxed geometry, from Alexandria.

Unit cell a=4.5505 b=4.5505 c=2.5881 alpha=80.46 beta=80.46 gamma=110.41
Last column: nearest neighbours and their distance in Å.
Sites, in units of the cell vectors:
Tc 0.0000 0.5000 0.5000  4 Be 2.42, 2 Tc 2.59, 2 Re 2.60
Be 0.5000 0.5000 0.0000  2 Re 2.42, 2 Tc 2.42, 4 Be 2.59-2.60
Be 0.0000 0.0000 0.0000  2 Tc 2.42, 2 Re 2.42, 4 Be 2.59-2.60
Re 0.5000 0.0000 0.5000  4 Be 2.42, 2 Re 2.59, 2 Tc 2.60

Arrangement x

The following is a PBE calculation of crystalline Be2ReTc at its relaxed geometry, from Alexandria.

Unit cell a=3.0959 b=4.1505 c=3.7303 alpha=90.00 beta=90.00 gamma=90.00
Last column: nearest neighbours and their distance in Å.
Sites, in units of the cell vectors:
Be 0.5000 0.5000 0.0000  4 Tc 2.42, 4 Be 2.59
Re 0.5000 0.0000 0.5000  4 Be 2.42, 4 Tc 2.59
Be 0.0000 0.0000 0.0000  4 Re 2.42, 4 Be 2.59
Tc 0.0000 0.5000 0.5000  4 Be 2.42, 4 Re 2.59

Arrangement y

The following is a PBE calculation of crystalline Be2ReTc at its relaxed geometry, from Alexandria.

Unit cell a=6.1255 b=6.1255 c=5.0313 alpha=52.50 beta=52.50 gamma=90.00
Last column: nearest neighbours and their distance in Å.
Sites, in units of the cell vectors:
Be 0.3750 0.3780 0.7500  2 Tc 2.25, 2 Re 2.27
Be 0.8750 0.8720 0.7500  2 Tc 2.25, 2 Re 2.27
Tc 0.5000 0.5000 0.0000  4 Be 2.25
Tc 0.2500 0.7500 0.5000  4 Be 2.25
Be 0.6220 0.1250 0.2500  2 Tc 2.25, 2 Re 2.27
Re 0.7500 0.2500 0.5000  4 Be 2.27
Re 0.0000 0.0000 0.0000  4 Be 2.27
Be 0.1280 0.6250 0.2500  2 Tc 2.25, 2 Re 2.27

Arrangement z

The following is a PBE calculation of crystalline Be2ReTc at its relaxed geometry, from Alexandria.

Unit cell a=8.0813 b=8.0813 c=8.0813 alpha=19.30 beta=19.30 gamma=19.30
Last column: nearest neighbours and their distance in Å.
Sites, in units of the cell vectors:
Re 0.4968 0.4968 0.4968  3 Be 2.52, 3 Tc 2.65, 6 Re 2.71
Be 0.0027 0.0027 0.0027  9 Be 2.42-2.71, 3 Tc 2.51
Tc 0.2536 0.2536 0.2536  3 Be 2.51, 3 Re 2.65, 6 Tc 2.71
Be 0.7470 0.7470 0.7470  9 Be 2.42-2.71, 3 Re 2.52

Stability summary - winner: arrangement x; margin: 0.006 eV/atom.

Arrangement w

The following is a PBE calculation of crystalline Be3ReTc at its relaxed geometry, from Alexandria.

Unit cell a=4.1180 b=4.1180 c=4.1180 alpha=90.00 beta=90.00 gamma=90.00
Last column: nearest neighbours and their distance in Å.
Sites, in units of the cell vectors:
Be 0.5000 0.0000 0.0000  2 Re 2.06
Tc 0.5000 0.5000 0.5000  12 Be 2.91
Be 0.0000 0.5000 0.0000  2 Re 2.06
Re 0.0000 0.0000 0.0000  6 Be 2.06
Be 0.0000 0.0000 0.5000  2 Re 2.06

Arrangement x

The following is a PBE calculation of crystalline Be3ReTc at its relaxed geometry, from Alexandria.

Unit cell a=4.0021 b=4.0021 c=4.0021 alpha=90.00 beta=90.00 gamma=90.00
Last column: nearest neighbours and their distance in Å.
Sites, in units of the cell vectors:
Be 0.0000 0.5000 0.0000  2 Tc 2.00
Be 0.0000 0.0000 0.5000  2 Tc 2.00
Re 0.5000 0.5000 0.5000  12 Be 2.83
Tc 0.0000 0.0000 0.0000  6 Be 2.00
Be 0.5000 0.0000 0.0000  2 Tc 2.00

Stability summary - winner: arrangement x; margin: 0.015 eV/atom.

Arrangement w

The following is a PBE calculation of crystalline BeRe2Te at its relaxed geometry, from Alexandria.

Unit cell a=4.9369 b=4.9369 c=4.9369 alpha=142.39 beta=123.45 gamma=69.92
Last column: nearest neighbours and their distance in Å.
Sites, in units of the cell vectors:
Be 0.2500 0.7500 0.5000  4 Re 2.29
Re 0.0467 0.0467 0.0000  2 Be 2.29
Te 0.7500 0.2500 0.5000  4 Be 2.83, 8 Re 2.86-2.88
Re 0.4533 0.4533 0.0000  2 Be 2.29

Arrangement x

The following is a PBE calculation of crystalline BeRe2Te at its relaxed geometry, from Alexandria.

Unit cell a=5.0910 b=5.0910 c=5.0910 alpha=142.82 beta=129.85 gamma=64.06
Last column: nearest neighbours and their distance in Å.
Sites, in units of the cell vectors:
Re 0.7515 0.2515 0.5000  4 Be 2.71, 4 Te 2.76-3.00, 4 Re 2.86-2.92
Te 0.4931 0.4931 0.0000  8 Re 2.71-3.00, 4 Be 2.78-2.98
Re 0.0242 0.0242 0.0000  2 Be 2.41
Be 0.2312 0.7312 0.5000  2 Re 2.41

Stability summary - winner: arrangement w; margin: 0.066 eV/atom.

Arrangement w

The following is a PBE calculation of crystalline Ti2BeRe at its relaxed geometry, from Alexandria.

Unit cell a=3.1772 b=4.2418 c=4.2418 alpha=90.00 beta=90.00 gamma=90.00
Last column: nearest neighbours and their distance in Å.
Sites, in units of the cell vectors:
Be 0.5000 0.0000 0.0000  8 Ti 2.65
Ti 0.0000 0.5000 0.0000  4 Re 2.65, 4 Be 2.65
Re 0.5000 0.5000 0.5000  8 Ti 2.65
Ti 0.0000 0.0000 0.5000  4 Re 2.65, 4 Be 2.65

Arrangement x

The following is a PBE calculation of crystalline Ti2BeRe at its relaxed geometry, from Alexandria.

Unit cell a=6.9262 b=6.9262 c=5.4766 alpha=50.78 beta=50.78 gamma=90.00
Last column: nearest neighbours and their distance in Å.
Sites, in units of the cell vectors:
Re 0.7500 0.2500 0.5000  2 Be 2.45, 4 Ti 2.61
Ti 0.6081 0.1250 0.2500  2 Be 2.45, 2 Ti 2.46, 2 Re 2.61
Re 0.0000 0.0000 0.0000  2 Be 2.45, 4 Ti 2.61
Ti 0.3750 0.3919 0.7500  2 Be 2.45, 2 Ti 2.46, 2 Re 2.61
Ti 0.1419 0.6250 0.2500  2 Be 2.45, 2 Ti 2.46, 2 Re 2.61
Be 0.2500 0.7500 0.5000  4 Ti 2.45, 2 Re 2.45
Be 0.5000 0.5000 0.0000  4 Ti 2.45, 2 Re 2.45
Ti 0.8750 0.8581 0.7500  2 Be 2.45, 2 Ti 2.46, 2 Re 2.61

Arrangement y

The following is a PBE calculation of crystalline Ti2BeRe at its relaxed geometry, from Alexandria.

Unit cell a=3.1306 b=3.1306 c=5.7937 alpha=90.00 beta=90.00 gamma=90.00
Last column: nearest neighbours and their distance in Å.
Sites, in units of the cell vectors:
Ti 0.0000 0.0000 0.2435  4 Be 2.62, 4 Re 2.67, 1 Ti 2.82
Ti 0.0000 0.0000 0.7565  4 Be 2.62, 4 Re 2.67, 1 Ti 2.82
Be 0.5000 0.5000 0.0000  8 Ti 2.62, 2 Re 2.90
Re 0.5000 0.5000 0.5000  8 Ti 2.67, 2 Be 2.90

Stability summary - winner: arrangement y; margin: 0.030 eV/atom.

Arrangement w

The following is a PBE calculation of crystalline TiBe2Re at its relaxed geometry, from Alexandria.

Unit cell a=3.3676 b=3.3676 c=5.4387 alpha=71.97 beta=71.97 gamma=60.00
Last column: nearest neighbours and their distance in Å.
Sites, in units of the cell vectors:
Re 0.5000 0.5000 0.5000  6 Be 2.26
Be 0.2428 0.2428 0.2715  3 Re 2.26, 3 Ti 2.38
Be 0.7572 0.7572 0.7285  3 Re 2.26, 3 Ti 2.38
Ti 0.0000 0.0000 0.0000  6 Be 2.38

Arrangement x

The following is a PBE calculation of crystalline TiBe2Re at its relaxed geometry, from Alexandria.

Unit cell a=4.0558 b=4.0558 c=4.0558 alpha=60.00 beta=60.00 gamma=60.00
Last column: nearest neighbours and their distance in Å.
Sites, in units of the cell vectors:
Be 0.2500 0.2500 0.2500  4 Re 2.48, 4 Ti 2.48
Ti 0.0000 0.0000 0.0000  8 Be 2.48
Re 0.5000 0.5000 0.5000  8 Be 2.48
Be 0.7500 0.7500 0.7500  4 Ti 2.48, 4 Re 2.48

Stability summary - winner: arrangement x; margin: 0.345 eV/atom.

Arrangement w

The following is a PBE calculation of crystalline Ti3BeRe at its relaxed geometry, from Alexandria.

Unit cell a=4.7305 b=4.7305 c=4.7305 alpha=90.00 beta=90.00 gamma=90.00
Last column: nearest neighbours and their distance in Å.
Sites, in units of the cell vectors:
Re 0.0000 0.0000 0.0000  6 Ti 2.37
Ti 0.5000 0.0000 0.0000  2 Re 2.37
Be 0.5000 0.5000 0.5000  12 Ti 3.34
Ti 0.0000 0.5000 0.0000  2 Re 2.37
Ti 0.0000 0.0000 0.5000  2 Re 2.37

Arrangement x

The following is a PBE calculation of crystalline Ti3BeRe at its relaxed geometry, from Alexandria.

Unit cell a=4.2759 b=4.2759 c=4.2759 alpha=90.00 beta=90.00 gamma=90.00
Last column: nearest neighbours and their distance in Å.
Sites, in units of the cell vectors:
Be 0.0000 0.0000 0.0000  6 Ti 2.14
Ti 0.0000 0.0000 0.5000  2 Be 2.14
Re 0.5000 0.5000 0.5000  12 Ti 3.02
Ti 0.0000 0.5000 0.0000  2 Be 2.14
Ti 0.5000 0.0000 0.0000  2 Be 2.14

Stability summary - winner: arrangement x; margin: 0.406 eV/atom.

Arrangement w

The following is a PBE calculation of crystalline TiBeRe2 at its relaxed geometry, from Alexandria.

Unit cell a=3.7616 b=3.7616 c=9.1726 alpha=78.17 beta=78.17 gamma=90.00
Last column: nearest neighbours and their distance in Å.
Sites, in units of the cell vectors:
Be 0.5000 0.5000 0.0000  4 Re 2.51, 4 Ti 2.66
Ti 0.7500 0.2500 0.5000  4 Re 2.63, 4 Be 2.66
Ti 0.0000 0.0000 0.0000  4 Re 2.63, 4 Be 2.66
Be 0.2500 0.7500 0.5000  4 Re 2.51, 4 Ti 2.66
Re 0.5798 0.6250 0.2500  2 Re 2.43, 2 Be 2.51, 2 Ti 2.63
Re 0.3750 0.8298 0.7500  2 Re 2.43, 2 Be 2.51, 2 Ti 2.63
Re 0.8750 0.4202 0.7500  2 Re 2.43, 2 Be 2.51, 2 Ti 2.63
Re 0.1702 0.1250 0.2500  2 Re 2.43, 2 Be 2.51, 2 Ti 2.63

Arrangement x

The following is a PBE calculation of crystalline TiBeRe2 at its relaxed geometry, from Alexandria.

Unit cell a=4.2515 b=4.2515 c=4.2515 alpha=60.00 beta=60.00 gamma=60.00
Last column: nearest neighbours and their distance in Å.
Sites, in units of the cell vectors:
Re 0.2500 0.2500 0.2500  4 Ti 2.60, 4 Be 2.60
Ti 0.5000 0.5000 0.5000  8 Re 2.60
Be 0.0000 0.0000 0.0000  8 Re 2.60
Re 0.7500 0.7500 0.7500  4 Be 2.60, 4 Ti 2.60

Stability summary - winner: arrangement x; margin: 0.398 eV/atom.

Arrangement w

The following is a PBE calculation of crystalline BeTlRe at its relaxed geometry, from Alexandria.

Unit cell a=4.0935 b=4.0935 c=4.0935 alpha=60.00 beta=60.00 gamma=60.00
Last column: nearest neighbours and their distance in Å.
Sites, in units of the cell vectors:
Tl 0.5000 0.5000 0.5000  4 Be 2.51
Be 0.7500 0.7500 0.7500  4 Tl 2.51, 4 Re 2.51
Re 0.0000 0.0000 0.0000  4 Be 2.51

Arrangement x

The following is a PBE calculation of crystalline BeTlRe at its relaxed geometry, from Alexandria.

Unit cell a=7.1466 b=7.0332 c=2.8268 alpha=80.76 beta=76.26 gamma=22.98
Last column: nearest neighbours and their distance in Å.
Sites, in units of the cell vectors:
Re 0.3601 0.3601 0.6399  2 Be 2.31
Tl 0.6726 0.6726 0.3274  4 Tl 2.83, 2 Re 3.11
Be 0.9673 0.9673 0.0327  2 Re 2.31

Stability summary - winner: arrangement x; margin: 0.204 eV/atom.